Ba3MnSi2O8: relaxed, PBE+U.

The space group is P-3m1 (No. 164) and the conventional cell measures 5.7457, 5.7457 and 7.4106 Å, with angles of 90.00, 90.00 and 120.00 degrees. The asymmetric unit holds Ba at (0.0000, 0.0000, 0.0000), Ba at (0.3333, 0.6667, 0.6710), Mn at (0.0000, 0.0000, 0.5000), Si at (0.3333, 0.6667, 0.2311), O at (0.1777, 0.3554, 0.3155) and O at (0.3333, 0.6667, 0.0130).

The value obtained for the calculated volume is 211.9 Å³/cell. The calculation puts the final energy at -7.3285 eV/atom.